VASP calculation (GGA-PBE) on NbCo2 after structural relaxation.

Unit cell a=4.7665 b=4.7665 c=4.7665 alpha=60.00 beta=60.00 gamma=60.00
Last column: nearest neighbours and their distance in Å.
Element x y z (fractional)
Nb (0.1250, 0.1250, 0.1250)  12 Co 2.79, 4 Nb 2.92
Nb (0.8750, 0.8750, 0.8750)  12 Co 2.79, 4 Nb 2.92
Co (0.0000, 0.5000, 0.5000)  6 Co 2.38
Co (0.5000, 0.0000, 0.5000)  6 Co 2.38
Co (0.5000, 0.5000, 0.0000)  6 Co 2.38
Co (0.5000, 0.5000, 0.5000)  6 Co 2.38

Output
The value obtained for the formation energy is -0.153 eV/atom. As for the crystal system: cubic. As for the calculated total energy: -8.247 eV/atom.